1.
5
Lattice="3.9074 0.0000 0.0000 0.0000 5.3544 0.0000 0.0000 0.0000 5.3544" Properties=species:S:1:pos:R:3 comment="Sc2NbBiO (SCAN, single point on PBEsol structure)" energy_ev_per_atom=-29.73 e_form_raw_ev_per_atom=-0.443 pbc="T T T"
Sc 0.0000 0.0000 2.6772
Sc 0.0000 2.6772 0.0000
Nb 0.0000 0.0000 0.0000
Bi 1.9537 2.6772 2.6772
O 1.9537 0.0000 0.0000

2.
18
Lattice="-3.7066 2.1847 3.1098 -5.2943 -4.0041 -1.8439 -1.9759 -4.8324 5.5058" Properties=species:S:1:pos:R:3 comment="TiNbBiO6 (SCAN, single point on PBEsol structure)" energy_ev_per_atom=-20.88 e_form_raw_ev_per_atom=-2.528 pbc="T T T"
Ti -6.6524 -5.2019 1.9165
Ti -9.5597 -6.4498 6.1570
Nb -4.3055 -1.4644 4.8743
Nb -1.4251 -0.1773 0.6522
Bi -6.8761 -4.0162 5.4830
Bi -4.3054 -2.6818 1.2502
O -4.9383 -4.8129 2.4222
O -6.0515 -1.8150 4.2870
O -0.9061 -1.6994 1.7746
O -10.0079 -4.9279 5.0707
O -3.1121 -0.9513 0.3201
O -7.8640 -5.7556 6.4243
O -7.5538 -4.8941 3.5000
O -3.3707 -1.7560 3.2490
O -6.8514 -3.4641 0.8709
O -4.0936 -3.1604 5.9145
O -6.2253 -3.2126 7.6513
O -4.6921 -3.4261 -0.8727

3.
88
Lattice="-4.6213 -9.1725 -2.3085 9.3057 -4.8692 0.7182 -1.6935 -1.7254 10.2458" Properties=species:S:1:pos:R:3 comment="Nb3Zn2Bi3O14 (SCAN, single point on PBEsol structure)" energy_ev_per_atom=-22.44 e_form_raw_ev_per_atom=-2.011 pbc="T T T"
Nb 7.3342 -5.6064 1.5934
Nb -1.6010 -5.1345 5.6040
Nb -1.2164 -10.4911 2.1152
Nb -0.8806 -3.2379 8.7466
Nb 0.3969 -7.7560 0.1384
Nb 1.4647 -10.3021 7.9983
Nb 0.6982 -12.1746 4.8522
Nb 5.7671 -8.3657 3.5737
Nb -3.1038 -8.8154 -0.6455
Nb 0.3093 -6.7647 8.3762
Nb 4.2073 -11.1066 5.5852
Nb 4.5687 -4.8475 3.9949
Zn 2.6169 -13.7962 7.5735
Zn -2.3602 -6.9885 2.4891
Zn 1.8535 -4.0509 6.3843
Zn 3.8714 -6.6986 0.8639
Zn 1.1215 -5.9127 3.2458
Zn 3.7565 -5.6995 9.1253
Zn 5.0424 -10.2090 0.4663
Zn -3.9389 -9.7129 4.4734
Bi 0.1539 -2.5784 3.9363
Bi 4.6337 -9.1260 8.9823
Bi 1.8546 -11.3688 -0.5449
Bi -0.9502 -4.5552 0.7169
Bi -2.1141 -11.5606 6.8790
Bi -0.6606 -8.4609 4.9371
Bi 2.4614 -9.1319 2.6361
Bi 6.5846 -6.2865 7.0789
Bi 2.8254 -3.5634 1.2190
Bi -3.5791 -7.9661 7.5311
Bi 2.8994 -7.1861 6.0293
Bi 3.8358 -12.8185 2.5315
O 1.9030 -2.3341 5.2358
O 2.5811 -9.6795 9.5190
O 2.7959 -13.0210 -1.6368
O -2.7280 -5.0411 1.9048
O 0.8721 -2.9740 7.8493
O -1.2984 -6.4996 4.1928
O -1.1646 -12.7185 5.2773
O 4.4000 -8.2368 2.1381
O 7.8727 -6.2994 8.8532
O -0.6512 -6.6212 1.3876
O 2.0014 -7.4751 1.2755
O 1.3607 -13.7022 5.9358
O 3.1948 -5.1182 -0.2823
O 1.7953 -12.1783 8.5616
O -5.2846 -9.0632 8.3649
O -1.8052 -8.8780 3.1141
O 2.9372 -5.2164 5.0668
O 5.8042 -6.1108 0.4309
O 5.1341 -12.1363 4.1614
O 0.1873 -4.3670 5.2042
O -3.5069 -7.6238 0.8921
O 1.7647 -5.8678 7.3642
O 4.1709 -12.7459 6.7067
O 3.5529 -5.2966 2.3478
O 0.8101 -4.2707 2.3444
O 4.4207 -6.9821 7.8927
O 3.4157 -10.8368 1.2181
O 3.0923 -4.4169 10.3579
O -2.6649 -9.4445 5.8556
O 1.4330 -7.5546 4.1471
O 6.6691 -9.5812 -0.2855
O -5.2129 -9.9814 3.0912
O 4.3487 -14.3472 0.3666
O -3.4682 -5.8018 5.9217
O 4.1031 -2.9716 3.5220
O 6.7201 -8.3340 10.5011
O -1.2440 -8.1726 -0.9417
O 0.9979 -8.4135 7.5005
O 1.4706 -8.7819 -1.2134
O 2.5704 -11.5223 4.5328
O -2.2583 -3.7023 4.3889
O -0.3989 -5.1219 9.2476
O 0.0493 -10.7159 3.6341
O 5.0540 -6.7174 4.4721
O -4.5272 -11.8054 8.0639
O 0.2160 -9.4471 1.1713
O 0.5736 -6.0753 -0.9123
O 0.4571 -10.9133 6.3723
O 4.3655 -9.4055 4.5298
O -1.8644 -3.8582 7.1319
O 5.5696 -4.2480 5.6294
O 7.1729 -7.3155 2.6353
O 6.2656 -4.6135 2.9468
O 3.1417 -10.0877 6.9487
O -0.9591 -6.5622 6.8326
O -2.4666 -10.2707 0.5828

4.
26
Lattice="-0.9302 5.1328 -1.4403 -3.7691 0.5488 4.3901 9.6336 2.2673 4.1402" Properties=species:S:1:pos:R:3 comment="Nb2Zn2BiO8 (SCAN, single point on PBEsol structure)" energy_ev_per_atom=-19.10 e_form_raw_ev_per_atom=-2.046 pbc="T T T"
Nb -1.4384 2.1144 4.9318
Nb 4.3066 3.6367 5.8266
Nb 6.3727 5.8346 2.1582
Nb 0.6277 4.3122 1.2634
Zn 4.6740 2.8125 2.4538
Zn 1.9083 2.3978 3.9785
Zn 0.2603 5.1364 4.6362
Zn 3.0260 5.5512 3.1115
Bi -1.3262 1.4424 0.9138
Bi -3.3731 4.2392 2.0360
O -2.8457 3.4179 4.2417
O 5.0467 2.4304 7.2938
O 7.7801 4.5311 2.8483
O -0.1124 5.5186 -0.2038
O -1.3723 1.1872 3.2546
O 6.0528 4.3000 5.3930
O 6.3067 6.7618 3.8354
O -1.1185 3.6489 1.6970
O 2.2956 5.4351 0.4241
O 3.0234 4.9566 4.9561
O 0.9855 5.5485 2.8727
O 4.5880 4.8061 2.2111
O 3.9489 2.4005 4.2174
O 0.3464 3.1429 4.8789
O 1.9110 2.9924 2.1340
O 2.6387 2.5139 6.6659

5.
5
Lattice="-4.3240 -3.0054 -1.4618 3.3416 -3.8501 -1.9689 0.0529 -2.4516 4.8840" Properties=species:S:1:pos:R:3 comment="NbBi3Pb (SCAN, single point on PBEsol structure)" energy_ev_per_atom=-68.46 formation_energy_ev_per_atom=0.4745 pbc="T T T"
Pb -0.4647 -4.6536 0.7267
Nb 0.0000 0.0000 0.0000
Bi 1.6708 -1.9251 -0.9844
Bi 0.0265 -1.2258 2.4420
Bi -2.1620 -1.5027 -0.7309

6.
5
Lattice="4.9001 0.0000 0.0000 0.0000 4.9001 0.0000 0.0000 0.0000 4.9001" Properties=species:S:1:pos:R:3 comment="Nb3BiPt (SCAN, single point on PBEsol structure)" energy_ev_per_atom=-48.91 formation_energy_ev_per_atom=0.7226 pbc="T T T"
Nb 0.0000 2.4501 0.0000
Nb 0.0000 0.0000 2.4501
Nb 2.4501 0.0000 0.0000
Bi 2.4501 2.4501 2.4501
Pt 0.0000 0.0000 0.0000